<P>
5
Lattice="5.4989 0.0000 0.0000 0.0000 5.4989 0.0000 0.0000 0.0000 4.3361" Properties=species:S:1:pos:R:3 comment="YFeSe2N PBE relaxed" space_group="No. 123" mass_density_g_cm3=4.0 magmom_total_mub_per_atom=1.196 pbc="T T T"
Se 0.0000 2.7495 0.0000
Se 2.7495 0.0000 0.0000
Fe 2.7495 2.7495 2.1681
Y 0.0000 0.0000 0.0000
N 0.0000 0.0000 2.1681


<Q>
5
Lattice="4.9586 0.0000 0.0000 0.0000 4.9586 0.0000 0.0000 0.0000 3.5238" Properties=species:S:1:pos:R:3 comment="YFeSe2N PBE relaxed" space_group="No. 123" mass_density_g_cm3=6.1 magmom_total_mub_per_atom=0.004 pbc="T T T"
Se 2.4793 0.0000 0.0000
Se 0.0000 2.4793 0.0000
Fe 0.0000 0.0000 0.0000
Y 2.4793 2.4793 1.7619
N 0.0000 0.0000 1.7619


Least stable of them? <P>.